Computed, not measured: BeBr after structural relaxation at the GGA-PBE level of DFT.

Values from the calculation:
Density (g/cm3): 2.95
Total magnetization (Bohr magnetons per cell): 0.0
E_form (uncorrected) (eV/atom): -0.204
Space-group type: Pmma

Cell and atoms, written as CIF:
```
data_BeBr
_cell_length_a 3.3980
_cell_length_b 3.4403
_cell_length_c 8.5735
_cell_angle_alpha 90.00
_cell_angle_beta 90.00
_cell_angle_gamma 90.00
_space_group_name_H-M_alt 'P 1'
_space_group_IT_number 1
_space_group_name_Hall 'P 1'
loop_
_atom_site_label
_atom_site_type_symbol
_atom_site_fract_x
_atom_site_fract_y
_atom_site_fract_z
Be1 Be 0.2500 0.0000 0.1027
Be2 Be 0.7500 0.0000 0.8973
Br1 Br 0.2500 0.5000 0.2590
Br2 Br 0.7500 0.5000 0.7410
```

***

Computed, not measured: BeBr after structural relaxation at the GGA-PBE level of DFT.

Values from the calculation:
Density (g/cm3): 3.04
Total magnetization (Bohr magnetons per cell): 0.0
E_form (uncorrected) (eV/atom): -0.069
Space-group type: P2_1/m

Cell and atoms, written as CIF:
```
data_BeBr
_cell_length_a 4.5051
_cell_length_b 3.2349
_cell_length_c 6.9636
_cell_angle_alpha 90.00
_cell_angle_beta 106.99
_cell_angle_gamma 90.00
_space_group_name_H-M_alt 'P 1'
_space_group_IT_number 1
_space_group_name_Hall 'P 1'
loop_
_atom_site_label
_atom_site_type_symbol
_atom_site_fract_x
_atom_site_fract_y
_atom_site_fract_z
Be1 Be 0.1917 0.2500 0.4731
Be2 Be 0.8083 0.7500 0.5269
Br1 Br 0.3662 0.7500 0.2671
Br2 Br 0.6338 0.2500 0.7329
```